Here is a geometry-optimized AcEu2Cd structure from Alexandria via LeMat-Bulk. Energies are from PBE.

- DFT formation energy: 65 meV/atom
- Relative energy among the computed polymorphs: 210 meV/atom
- Total energy: -0.2326 hartree per atom
- Space group: R-3m
- Density of states at the Fermi level: 3.47 states/eV per cell
- ρ: 6.80 Mg/m³

Lattice parameters (Å, degrees): 12.7775 12.7775 12.7775 17.09 17.09 17.09
Fractional coordinates of all 4 atoms:
Ac  0.0000  0.0000  0.0000
Eu  0.0985  0.0985  0.0985
Eu  0.9015  0.9015  0.9015
Cd  0.5000  0.5000  0.5000



Here is a geometry-optimized ZrCuSe4 structure from Alexandria via LeMat-Bulk. Energies are from PBE.

- ΔE_f (raw): 508 meV/atom
- Total energy: -0.1442 hartree per atom
- Space group: F-43m
- Density of states at the Fermi level: 4.02 states/eV per cell
- ρ: 6.34 Mg/m³

Lattice parameters (Å, degrees): 5.5876 5.5876 5.5876 60.00 60.00 60.00
Fractional coordinates of all 6 atoms:
Zr  0.0000  0.0000  0.0000
Cu  0.7500  0.7500  0.7500
Se  0.3751  0.3751  0.3751
Se  0.3751  0.3751  0.8747
Se  0.3751  0.8747  0.3751
Se  0.8747  0.3751  0.3751



Here is a geometry-optimized ZrCuAgPd structure from Alexandria via LeMat-Bulk. Energies are from PBE.

- DFT formation energy: -244 meV/atom
- Total energy: -0.1990 hartree per atom
- Space group: F-43m
- Density of states at the Fermi level: 3.21 states/eV per cell
- ρ: 9.04 Mg/m³

Lattice parameters (Å, degrees): 4.5776 4.5776 4.5776 60.00 60.00 60.00
Fractional coordinates of all 4 atoms:
Zr  0.0000  0.0000  0.0000
Cu  0.2500  0.2500  0.2500
Ag  0.5000  0.5000  0.5000
Pd  0.7500  0.7500  0.7500



Here is a geometry-optimized Pm3Nd8Tl structure from Alexandria via LeMat-Bulk. Energies are from PBE.

- DFT formation energy: 433 meV/atom
- Total energy: -0.1518 hartree per atom
- Space group: I-42m
- Density of states at the Fermi level: 18.81 states/eV per cell
- ρ: 6.63 Mg/m³

Lattice parameters (Å, degrees): 8.5140 8.5140 8.5140 117.89 117.89 93.70
Fractional coordinates of all 12 atoms:
Pm  0.0000  0.0000  0.0000
Pm  0.2500  0.7500  0.5000
Pm  0.7500  0.2500  0.5000
Nd  0.1197  0.1197  0.7457
Nd  0.2301  0.2301  0.4928
Nd  0.2627  0.7699  0.0000
Nd  0.3740  0.3740  0.2543
Nd  0.6260  0.8803  0.0000
Nd  0.7373  0.7373  0.5072
Nd  0.7699  0.2627  0.0000
Nd  0.8803  0.6260  0.0000
Tl  0.5000  0.5000  0.0000



Here is a geometry-optimized GaSiS2N structure from Alexandria via LeMat-Bulk. Energies are from PBE.

- ΔE_f (raw): 167 meV/atom
- Relative energy among the computed polymorphs: 0 meV/atom
- Total energy: -0.1778 hartree per atom
- Space group: P4/mmm
- Density of states at the Fermi level: 2.78 states/eV per cell
- ρ: 3.83 Mg/m³

Lattice parameters (Å, degrees): 4.7707 4.7707 3.3561 90.00 90.00 90.00
Fractional coordinates of all 5 atoms:
Ga  0.0000  0.0000  0.0000
Si  0.5000  0.5000  0.5000
S  0.0000  0.5000  0.5000
S  0.5000  0.0000  0.5000
N  0.5000  0.5000  0.0000



Here is a geometry-optimized ZrTc3C structure from Alexandria via LeMat-Bulk. Energies are from PBE.

- DFT formation energy: 3296 meV/atom
- Relative energy among the computed polymorphs: 3450 meV/atom
- Total energy: -0.2381 hartree per atom
- Space group: Pm-3m
- Density of states at the Fermi level: 4.59 states/eV per cell
- ρ: 6.05 Mg/m³

Lattice parameters (Å, degrees): 4.7763 4.7763 4.7763 90.00 90.00 90.00
Fractional coordinates of all 5 atoms:
Zr  0.0000  0.0000  0.0000
Tc  0.0000  0.0000  0.5000
Tc  0.0000  0.5000  0.0000
Tc  0.5000  0.0000  0.0000
C  0.5000  0.5000  0.5000



Here is a geometry-optimized La2HgRh structure from Alexandria via LeMat-Bulk. Energies are from PBE.

- DFT formation energy: -599 meV/atom
- Total energy: -0.1829 hartree per atom
- Space group: P2/m
- Density of states at the Fermi level: 3.08 states/eV per cell
- ρ: 9.00 Mg/m³

Lattice parameters (Å, degrees): 3.7996 3.7412 7.6010 90.00 96.83 90.00
Fractional coordinates of all 4 atoms:
La  0.0702  0.0000  0.2802
La  0.9298  0.0000  0.7198
Hg  0.5000  0.5000  0.0000
Rh  0.5000  0.5000  0.5000



Here is a geometry-optimized CaSbPt2S structure from Alexandria via LeMat-Bulk. Energies are from PBE.

- ΔE_f (raw): -284 meV/atom
- Total energy: -0.1746 hartree per atom
- Space group: P4/mmm
- Density of states at the Fermi level: 3.41 states/eV per cell
- ρ: 8.90 Mg/m³

Lattice parameters (Å, degrees): 4.6218 4.6218 5.1017 90.00 90.00 90.00
Fractional coordinates of all 5 atoms:
Ca  0.0000  0.0000  0.0000
Sb  0.5000  0.5000  0.0000
Pt  0.0000  0.5000  0.5000
Pt  0.5000  0.0000  0.5000
S  0.0000  0.0000  0.5000



Q: What is the ρ in the first record?
A: 6.80 Mg/m³